Run P
Compound: PmY8Er6
Source: the Alexandria database
Functional: PBE
Structure: optimized geometry

Values from the calculation:
DOS(E_F)	1.564	states/eV/atom

Cell lengths 9.0192, 9.0192, 20.6174 Å; angles 90.00, 90.00, 120.00 degrees
With the nearest neighbours (Å) after each atom.
Space group R-3 (No. 148, hexagonal axes)
Inequivalent atoms, fractional coordinates:
Pm (0.0000, 0.0000, 0.0000) (multiplicity 3)  6 Er 3.43, 6 Y 3.52
Y (0.0000, 0.0000, 0.4232) (multiplicity 6)  4 Y 3.17-3.41, 3 Er 3.34
Y (0.0816, 0.5540, 0.8083) (multiplicity 18)  5 Y 3.40-3.41, 3 Er 3.41-3.74, 1 Pm 3.52
Er (0.0624, 0.2459, 0.7069) (multiplicity 18)  4 Y 3.34-3.74, 1 Pm 3.43, 4 Er 3.46-3.72

Run Q
Compound: PmY8Er6
Source: the Alexandria database
Functional: PBE
Structure: optimized geometry

Values from the calculation:
DOS(E_F)	1.520	states/eV/atom

Cell lengths 9.3923, 9.3923, 6.5439 Å; angles 90.00, 90.00, 120.00 degrees
With the nearest neighbours (Å) after each atom.
Space group P-3 (No. 147)
Inequivalent atoms, fractional coordinates:
Pm (0.0000, 0.0000, 0.0000) (multiplicity 1)  6 Er 3.57
Y (0.0279, 0.6886, 0.5991) (multiplicity 6)  4 Er 3.20-3.57, 5 Y 3.33-3.56
Y (0.3333, 0.6667, 0.3219) (multiplicity 2)  6 Y 3.40-3.49, 3 Er 3.58
Er (0.0907, 0.4121, 0.9079) (multiplicity 6)  1 Er 3.14, 3 Y 3.20-3.48

Most stable: run P

Run P
Compound: Pm4Y8Er3
Source: the Alexandria database
Functional: PBE
Structure: optimized geometry

Values from the calculation:
DOS(E_F)	2.015	states/eV/atom

Cell lengths 13.4717, 12.8582, 6.7719 Å; angles 90.00, 120.04, 90.00 degrees
With the nearest neighbours (Å) after each atom.
Space group C2/m (No. 12)
Inequivalent atoms, fractional coordinates:
Pm (0.0000, 0.0000, 0.0000) (multiplicity 2)  6 Y 3.26-3.53, 2 Pm 3.39
Pm (0.0000, 0.0000, 0.5000) (multiplicity 2)  2 Pm 3.39, 4 Y 3.54-3.64
Pm (0.2500, 0.2500, 0.0000) (multiplicity 4)  4 Y 3.23-3.37, 2 Er 3.39
Y (0.0000, 0.2535, 0.0000) (multiplicity 4)  3 Er 3.17-3.38, 3 Pm 3.26-3.37
Y (0.0000, 0.3595, 0.5000) (multiplicity 4)  7 Y 3.60-3.68, 4 Er 3.65-3.84, 2 Pm 3.66
Y (0.2297, 0.5000, 0.9621) (multiplicity 4)  3 Pm 3.23-3.52, 1 Er 3.23, 4 Y 3.25-3.60
Y (0.2342, 0.5000, 0.4864) (multiplicity 4)  3 Er 3.22-3.23, 2 Y 3.25-3.52, 2 Pm 3.53-3.54
Er (0.0000, 0.5000, 0.0000) (multiplicity 2)  6 Y 3.17-3.23
Er (0.2500, 0.2500, 0.5000) (multiplicity 4)  4 Y 3.22-3.38, 2 Pm 3.39

Run Q
Compound: Pm4Y8Er3
Source: the Alexandria database
Functional: PBE
Structure: optimized geometry

Values from the calculation:
DOS(E_F)	1.558	states/eV/atom

Cell lengths 6.9820, 6.9820, 35.4514 Å; angles 90.00, 90.00, 120.00 degrees
With the nearest neighbours (Å) after each atom.
Space group R-3m (No. 166, hexagonal axes)
Inequivalent atoms, fractional coordinates:
Pm (0.0000, 0.0000, 0.0000) (multiplicity 3)  6 Er 3.49, 6 Y 3.56
Pm (0.0000, 0.0000, 0.1638) (multiplicity 6)  4 Y 3.24-3.52
Pm (0.0000, 0.0000, 0.5000) (multiplicity 3)  6 Y 3.60
Y (0.0000, 0.0000, 0.2552) (multiplicity 6)  1 Pm 3.24, 3 Er 3.42, 6 Y 3.49
Y (0.0017, 0.5009, 0.2509) (multiplicity 18)  6 Y 3.47-3.51, 3 Pm 3.52-3.60, 2 Er 3.55
Er (0.0000, 0.5000, 0.0000) (multiplicity 9)  6 Y 3.42-3.55, 4 Er 3.49, 2 Pm 3.49

Most stable: run Q

Run P
Compound: PmY6Er4
Source: the Alexandria database
Functional: PBE
Structure: optimized geometry

Values from the calculation:
DOS(E_F)	1.826	states/eV/atom

Cell lengths 5.6617, 9.7134, 25.7431 Å; angles 90.00, 90.00, 90.00 degrees
With the nearest neighbours (Å) after each atom.
Space group Cmcm (No. 63)
Inequivalent atoms, fractional coordinates:
Pm (0.0000, 0.1737, 0.2500) (multiplicity 4)  3 Y 3.24-3.26
Y (0.0000, 0.1582, 0.6804) (multiplicity 8)  4 Er 3.57-3.61, 7 Y 3.58-3.84, 3 Pm 3.69-3.73
Y (0.0000, 0.1748, 0.1016) (multiplicity 8)  6 Er 3.29-3.63
Y (0.0000, 0.4926, 0.7500) (multiplicity 4)  3 Pm 3.24-3.26, 2 Er 3.32
Y (0.0000, 0.5000, 0.0000) (multiplicity 4)  8 Er 3.11-3.44
Er (0.0000, 0.1636, 0.5416) (multiplicity 8)  8 Y 3.42-3.69, 1 Er 3.77
Er (0.0000, 0.4898, 0.6209) (multiplicity 8)  5 Y 3.11-3.32

Run Q
Compound: PmY6Er4
Source: the Alexandria database
Functional: PBE
Structure: optimized geometry

Values from the calculation:
DOS(E_F)	1.461	states/eV/atom

Cell lengths 10.9030, 10.9030, 3.5480 Å; angles 90.00, 90.00, 120.00 degrees
With the nearest neighbours (Å) after each atom.
Space group P-6m2 (No. 187)
Inequivalent atoms, fractional coordinates:
Pm (0.0000, 0.0000, 0.0000) (multiplicity 1)  6 Er 3.53, 2 Pm 3.55, 6 Y 3.89
Y (0.1836, 0.3672, 0.5000) (multiplicity 3)  4 Er 3.28-3.34, 2 Y 3.55
Y (0.5195, 0.0390, 0.0000) (multiplicity 3)  5 Er 3.52, 6 Y 3.55-3.68
Er (0.3236, 0.1618, 0.5000) (multiplicity 3)  6 Y 3.28-3.52, 2 Pm 3.53, 2 Er 3.55
Er (0.3333, 0.6667, 0.0000) (multiplicity 1)  9 Y 3.34-3.52, 2 Er 3.55

Most stable: run P

Run P
Compound: PmY2Er9
Source: the Alexandria database
Functional: PBE
Structure: optimized geometry

Values from the calculation:
DOS(E_F)	1.463	states/eV/atom

Cell lengths 11.1674, 11.1674, 3.4880 Å; angles 90.00, 90.00, 120.00 degrees
With the nearest neighbours (Å) after each atom.
Space group P6/mmm (No. 191)
Inequivalent atoms, fractional coordinates:
Pm (0.0000, 0.0000, 0.0000) (multiplicity 1)  2 Pm 3.49, 12 Er 3.85
Y (0.3333, 0.6667, 0.0000) (multiplicity 2)  9 Er 3.22-3.48, 2 Y 3.49
Er (0.0000, 0.5000, 0.0000) (multiplicity 3)  2 Y 3.22, 10 Er 3.49-3.58
Er (0.1774, 0.3547, 0.5000) (multiplicity 6)  8 Er 3.43-3.58, 2 Y 3.48

Run Q
Compound: PmY2Er9
Source: the Alexandria database
Functional: PBE
Structure: optimized geometry

Values from the calculation:
DOS(E_F)	1.426	states/eV/atom

Cell lengths 4.9934, 4.9934, 14.9780 Å; angles 90.00, 90.00, 90.00 degrees
With the nearest neighbours (Å) after each atom.
Space group P4/mmm (No. 123)
Inequivalent atoms, fractional coordinates:
Pm (0.0000, 0.0000, 0.0000) (multiplicity 1)  12 Er 3.53-3.54
Y (0.0000, 0.0000, 0.3336) (multiplicity 2)  12 Er 3.53
Er (0.0000, 0.5000, 0.1674) (multiplicity 4)  2 Y 3.53, 8 Er 3.53-3.54, 2 Pm 3.54
Er (0.0000, 0.5000, 0.5000) (multiplicity 2)  8 Er 3.52-3.53, 4 Y 3.53
Er (0.5000, 0.5000, 0.0000) (multiplicity 1)  4 Pm 3.53, 8 Er 3.54
Er (0.5000, 0.5000, 0.3341) (multiplicity 2)  8 Er 3.52-3.53, 4 Y 3.53

Most stable: run Q